No. 1
Compound: ZnTcBr2
Source: Alexandria via LeMat-Bulk
Functional: GGA-PBE
Structure: relaxed

Values from the calculation:
**Energy relative to the elements, uncorrected**: 0.56 eV/atom
**Symmetry**: No. 166
**Offset from the most stable computed form**: 771 meV per atom
**Total moment**: 2.7 μB per formula unit
**DFT total energy**: -3.189 eV/atom

The structure in POSCAR format:
```
ZnTcBr2
1.0
1.7767 1.0258 8.5080
-1.7767 1.0258 8.5080
0.0000 -2.0515 8.5080
Zn Tc Br
1 1 2
Direct
0.0000 0.0000 0.0000 Zn
0.5000 0.5000 0.5000 Tc
0.4024 0.4024 0.4024 Br
0.5976 0.5976 0.5976 Br
```

---

No. 2
Compound: ZnTcBr2
Source: Alexandria via LeMat-Bulk
Functional: GGA-PBE
Structure: relaxed

Values from the calculation:
**Energy relative to the elements, uncorrected**: 0.27 eV/atom
**Symmetry**: No. 12
**Offset from the most stable computed form**: 485 meV per atom
**Total moment**: 0.5 μB per formula unit
**DFT total energy**: -3.475 eV/atom

The structure in POSCAR format:
```
ZnTcBr2
1.0
3.4755 -1.6488 0.0000
3.4755 1.6488 0.0000
-1.4350 0.0000 9.4174
Zn Tc Br
1 1 2
Direct
0.0000 0.0000 0.0000 Zn
0.5000 0.5000 0.5000 Tc
0.2261 0.2261 0.6546 Br
0.7739 0.7739 0.3454 Br
```

---

No. 3
Compound: Zn2TcBr
Source: Alexandria via LeMat-Bulk
Functional: GGA-PBE
Structure: relaxed

Values from the calculation:
**Energy relative to the elements, uncorrected**: 0.43 eV/atom
**Symmetry**: No. 99
**Offset from the most stable computed form**: 227 meV per atom
**Total moment**: 1.6 μB per formula unit
**DFT total energy**: -3.212 eV/atom

The structure in POSCAR format:
```
Zn2TcBr
1.0
3.4069 0.0000 0.0000
0.0000 3.4069 0.0000
0.0000 0.0000 6.2595
Zn Tc Br
2 1 1
Direct
0.0000 0.0000 0.0000 Zn
0.5000 0.5000 0.2414 Zn
0.5000 0.5000 0.8385 Tc
0.0000 0.0000 0.5191 Br
```

---

No. 4
Compound: Zr2TcBr
Source: Alexandria via LeMat-Bulk
Functional: GGA-PBE
Structure: relaxed

Values from the calculation:
**Energy relative to the elements, uncorrected**: -0.29 eV/atom
**Symmetry**: No. 166
**Offset from the most stable computed form**: 211 meV per atom
**Total moment**: 0.0 μB per formula unit
**DFT total energy**: -7.579 eV/atom

The structure in POSCAR format:
```
Zr2TcBr
1.0
1.6967 0.9796 8.3897
-1.6967 0.9796 8.3897
0.0000 -1.9592 8.3897
Zr Tc Br
2 1 1
Direct
0.2403 0.2403 0.2403 Zr
0.7597 0.7597 0.7597 Zr
0.5000 0.5000 0.5000 Tc
0.0000 0.0000 0.0000 Br
```

---

No. 5
Compound: Zr2TcBr
Source: Alexandria via LeMat-Bulk
Functional: GGA-PBE
Structure: relaxed

Values from the calculation:
**Energy relative to the elements, uncorrected**: 0.07 eV/atom
**Symmetry**: No. 35
**Offset from the most stable computed form**: 579 meV per atom
**Total moment**: 0.0 μB per formula unit
**DFT total energy**: -7.211 eV/atom

The structure in POSCAR format:
```
Zr2TcBr
1.0
1.7035 -2.6853 0.0000
1.7035 2.6853 0.0000
0.0000 0.0000 9.4650
Zr Tc Br
2 1 1
Direct
0.0000 0.0000 0.0000 Zr
0.5000 0.5000 0.2730 Zr
0.0000 0.0000 0.4731 Tc
0.5000 0.5000 0.7721 Br
```

---

No. 6
Compound: ZrTcBr2
Source: Alexandria via LeMat-Bulk
Functional: GGA-PBE
Structure: relaxed

Values from the calculation:
**Energy relative to the elements, uncorrected**: 0.43 eV/atom
**Symmetry**: No. 119
**Offset from the most stable computed form**: 787 meV per atom
**Total moment**: 0.7 μB per formula unit
**DFT total energy**: -5.131 eV/atom

The structure in POSCAR format:
```
ZrTcBr2
1.0
-2.0159 2.0159 4.8310
2.0159 -2.0159 4.8310
2.0159 2.0159 -4.8310
Zr Tc Br
1 1 2
Direct
0.0000 0.0000 0.0000 Zr
0.7500 0.2500 0.5000 Tc
0.2500 0.7500 0.5000 Br
0.5000 0.5000 0.0000 Br
```

---

No. 7
Compound: ZrTcBr2
Source: Alexandria via LeMat-Bulk
Functional: GGA-PBE
Structure: relaxed

Values from the calculation:
**Energy relative to the elements, uncorrected**: 0.11 eV/atom
**Symmetry**: No. 166
**Offset from the most stable computed form**: 465 meV per atom
**Total moment**: 1.5 μB per formula unit
**DFT total energy**: -5.453 eV/atom

The structure in POSCAR format:
```
ZrTcBr2
1.0
1.6342 0.9435 9.0470
-1.6342 0.9435 9.0470
0.0000 -1.8870 9.0470
Zr Tc Br
1 1 2
Direct
0.0000 0.0000 0.0000 Zr
0.5000 0.5000 0.5000 Tc
0.4077 0.4077 0.4077 Br
0.5923 0.5923 0.5923 Br
```

---

No. 8
Compound: Zr2TcBr
Source: Alexandria via LeMat-Bulk
Functional: GGA-PBE
Structure: relaxed

Values from the calculation:
**Energy relative to the elements, uncorrected**: -0.07 eV/atom
**Symmetry**: No. 6
**Offset from the most stable computed form**: 441 meV per atom
**Total moment**: 0.0 μB per formula unit
**DFT total energy**: -7.349 eV/atom

The structure in POSCAR format:
```
Zr2TcBr
1.0
3.2648 0.0000 0.0000
0.0000 4.6295 0.0000
-1.6285 0.0000 5.1963
Zr Tc Br
2 1 1
Direct
0.0000 0.0000 0.0000 Zr
0.2787 0.5000 0.5633 Zr
0.7481 0.0000 0.5009 Tc
0.5497 0.5000 0.1015 Br
```

---

No. 9
Compound: ZrTcBr2
Source: Alexandria via LeMat-Bulk
Functional: GGA-PBE
Structure: relaxed

Values from the calculation:
**Energy relative to the elements, uncorrected**: -0.13 eV/atom
**Symmetry**: No. 8
**Offset from the most stable computed form**: 220 meV per atom
**Total moment**: 0.5 μB per formula unit
**DFT total energy**: -5.698 eV/atom

The structure in POSCAR format:
```
ZrTcBr2
1.0
5.5146 -1.6603 0.0000
5.5146 1.6603 0.0000
-0.6238 0.0000 5.8040
Zr Tc Br
1 1 2
Direct
0.0000 0.0000 0.0000 Zr
0.6221 0.6221 0.2586 Tc
0.2719 0.2719 0.0302 Br
0.4954 0.4954 0.5939 Br
```

---

No. 10
Compound: Zr2TcBr
Source: Alexandria via LeMat-Bulk
Functional: GGA-PBE
Structure: relaxed

Values from the calculation:
**Energy relative to the elements, uncorrected**: 0.02 eV/atom
**Symmetry**: No. 99
**Offset from the most stable computed form**: 525 meV per atom
**Total moment**: 0.0 μB per formula unit
**DFT total energy**: -7.265 eV/atom

The structure in POSCAR format:
```
Zr2TcBr
1.0
3.4400 0.0000 0.0000
0.0000 3.4400 0.0000
0.0000 0.0000 7.6171
Zr Tc Br
2 1 1
Direct
0.0000 0.0000 0.0000 Zr
0.5000 0.5000 0.2405 Zr
0.5000 0.5000 0.8464 Tc
0.0000 0.0000 0.4619 Br
```

---

No. 11
Compound: ZrTcBr2
Source: Alexandria via LeMat-Bulk
Functional: GGA-PBE
Structure: relaxed

Values from the calculation:
**Energy relative to the elements, uncorrected**: 0.41 eV/atom
**Symmetry**: No. 65
**Offset from the most stable computed form**: 762 meV per atom
**Total moment**: 3.0 μB per formula unit
**DFT total energy**: -5.156 eV/atom

The structure in POSCAR format:
```
ZrTcBr2
1.0
1.5979 -3.0153 0.0000
1.5979 3.0153 0.0000
0.0000 0.0000 9.2221
Zr Tc Br
1 1 2
Direct
0.0000 0.0000 0.0000 Zr
0.0000 0.0000 0.5000 Tc
0.5000 0.5000 0.2470 Br
0.5000 0.5000 0.7530 Br
```

---

No. 12
Compound: ZrTcBr2
Source: Alexandria via LeMat-Bulk
Functional: GGA-PBE
Structure: relaxed

Values from the calculation:
**Energy relative to the elements, uncorrected**: 0.41 eV/atom
**Symmetry**: No. 225
**Offset from the most stable computed form**: 762 meV per atom
**Total moment**: 0.0 μB per formula unit
**DFT total energy**: -5.156 eV/atom

The structure in POSCAR format:
```
ZrTcBr2
1.0
0.0000 3.3168 3.3168
3.3168 0.0000 3.3168
3.3168 3.3168 0.0000
Zr Tc Br
1 1 2
Direct
0.0000 0.0000 0.0000 Zr
0.5000 0.5000 0.5000 Tc
0.2500 0.2500 0.2500 Br
0.7500 0.7500 0.7500 Br
```